Hf2HCCl: optimized geometry, PBE.

Lattice parameters (Å, degrees): 3.3221 3.3221 8.9552 90.00 90.00 120.00
Last column: nearest neighbours and their distance in Å.
Element x y z (fractional)
C1 0.0000 0.0000 0.5161  6 Hf 2.25-2.28
Cl1 0.6667 0.3333 0.1834  3 Hf 2.63
H1 0.3333 0.6667 0.7613  3 Hf 2.14
Hf1 0.3333 0.6667 0.3849  3 C 2.25
Hf2 0.6667 0.3333 0.6543  3 H 2.14, 3 C 2.28

Computed properties:
- Magnetization: 0.0 μB/cell
- Space group: No. 156
- Uncorrected energy: -7.886 eV per atom